1.
DFT (PBE) results for an optimized crystal structure of Zr2TaAs.

The structure belongs to space group Cmmm (No. 65); the cell edges are 3.7381, 5.0662 and 8.4731 Å and the angles 90.00°, 90.00° and 90.00°. The asymmetric unit holds Zr at (0.0000, 0.0000, 0.2343), Ta at (0.0000, 0.5000, 0.5000) and As at (0.0000, 0.5000, 0.0000).

The value obtained for the total energy is -8.730 eV per atom. Its density of states at the Fermi level is 4.25 states/eV/f.u.



2.
DFT (PBE) results for an optimized crystal structure of NbInAs.

The structure belongs to space group P4/nmm (No. 129, origin choice 2); the cell edges are 3.7995, 3.7995 and 8.2708 Å and the angles 90.00°, 90.00° and 90.00°. The asymmetric unit holds Nb at (0.2500, 0.2500, 0.2146), In at (0.2500, 0.7500, 0.5000) and As at (0.2500, 0.2500, 0.8818).

The value obtained for the total energy is -5.885 eV per atom. Its density of states at the Fermi level is 1.86 states/eV/f.u.



3.
DFT (PBE) results for an optimized crystal structure of ZnFeNi2S.

The structure belongs to space group P4/mmm (No. 123); the cell edges are 4.0793, 4.0793 and 4.6168 Å and the angles 90.00°, 90.00° and 90.00°. The asymmetric unit holds Zn at (0.0000, 0.0000, 0.0000), Fe at (0.5000, 0.5000, 0.0000), Ni at (0.0000, 0.5000, 0.5000) and S at (0.0000, 0.0000, 0.5000).

Its density of states at the Fermi level is 5.32 states/eV/f.u. The raw formation energy comes out at 2.54 eV/f.u.



4.
DFT (PBE) results for an optimized crystal structure of CoHOsRh2.

The structure belongs to space group P4/mmm (No. 123); the cell edges are 3.8253, 3.8253 and 3.8266 Å and the angles 90.00°, 90.00° and 90.00°. The asymmetric unit holds Co at (0.0000, 0.0000, 0.0000), H at (0.0000, 0.0000, 0.5000), Os at (0.5000, 0.5000, 0.0000) and Rh at (0.0000, 0.5000, 0.5000).

The value obtained for the total energy is -7.090 eV per atom. Its density of states at the Fermi level is 5.35 states/eV/f.u.



What is the formula in the second record? NbInAs